Density functional theory data (SCAN) for a crystal of RbZn4P3 relaxed with PBEsol.

Lattice parameters (Å, degrees): 4.000 4.000 9.972 90.00 90.00 90.00
Space group P4/mmm (No. 123)
Symmetry-distinct sites (fractional):
Rb  0.000  0.000  0.000
Zn  0.000  0.500  0.343
P  0.000  0.000  0.500
P  0.500  0.500  0.212

## Properties
- Electronic total energy: -13.615 eV per atom
- Calculated formation energy: -0.37 eV/atom
- Total moment: 0.00 μB/atom

Density functional theory data (SCAN) for a crystal of Rb3ZrP relaxed with PBEsol.

Lattice parameters (Å, degrees): 6.417 6.417 6.417 90.00 90.00 90.00
Space group Pm-3m (No. 221)
Symmetry-distinct sites (fractional):
Rb  0.000  0.000  0.500
Zr  0.500  0.500  0.500
P  0.000  0.000  0.000

## Properties
- Electronic total energy: -19.799 eV per atom
- Calculated formation energy: 0.86 eV/atom
- Total moment: 0.40 μB/atom